[1]
14
Lattice="-0.862 5.637 1.183 -4.393 -3.262 -1.996 -1.946 -1.821 7.261" Properties=species:S:1:pos:R:3 comment="K3ZnOs2O8 PBE relaxed" sg="P-3m1 (164)" total_energy_ev_per_atom=-5.917 formation_energy_uncorrected_mev_per_atom=-1153 pbc="T T T"
K -4.484 -1.482 3.795
Os -3.646 -0.698 0.668
K -2.717 2.037 2.653
O -4.868 0.445 1.490
K 0.000 0.000 0.000
O -2.056 2.655 0.187
O -5.145 -2.100 6.261
O -2.764 2.924 5.548
O -2.245 -0.741 1.896
O -2.334 0.110 4.958
O -4.957 1.296 4.552
O -4.438 -2.369 0.900
Os -3.555 1.252 5.780
Zn -0.973 -0.911 3.631

[2]
18
Lattice="-1.443 0.724 -7.243 -3.916 -5.114 -3.685 -6.862 1.417 -2.445" Properties=species:S:1:pos:R:3 comment="K2ZrOs3O12 PBE relaxed" sg="R-3m (166)" total_energy_ev_per_atom=-7.286 formation_energy_uncorrected_mev_per_atom=-1513 pbc="T T T"
O -6.052 1.115 -6.996
O -4.631 -0.458 -8.589
Os -0.722 0.362 -3.622
Os -3.431 0.708 -1.223
O -7.590 -2.515 -4.784
O -7.306 -3.573 -10.941
O -10.459 -3.170 -8.149
O -6.169 -4.088 -6.377
K -4.467 -1.087 -4.889
O -1.762 0.197 -5.225
O -3.202 -3.201 -3.154
O -9.020 0.228 -10.219
O -4.916 0.600 -2.432
O -4.221 -2.945 -7.767
Zr 0.000 0.000 0.000
K -7.754 -1.886 -8.485
Os -1.958 -2.557 -1.843
O -8.000 -0.028 -5.606

[3]
10
Lattice="5.732 0.000 0.001 0.000 5.732 0.001 -2.865 -2.865 4.056" Properties=species:S:1:pos:R:3 comment="K2ZrOsO6 PBE relaxed" sg="Fm-3m (225)" total_energy_ev_per_atom=-7.157 formation_energy_uncorrected_mev_per_atom=-1985 pbc="T T T"
O -0.001 0.002 1.934
K 2.866 0.004 2.028
O 2.867 2.870 2.123
O 1.499 -1.495 4.056
Os 2.867 -2.862 4.056
O -1.497 -1.494 4.054
O -1.498 1.502 4.056
K 0.001 2.869 2.028
Zr 0.001 0.004 4.056
O 4.364 4.367 0.002

[4]
10
Lattice="7.800 -0.151 0.603 5.778 5.242 0.603 1.115 0.418 4.603" Properties=species:S:1:pos:R:3 comment="KPO3 PBE relaxed" sg="C2/m (12)" total_energy_ev_per_atom=-6.308 formation_energy_uncorrected_mev_per_atom=-2032 pbc="T T T"
O 4.852 1.819 3.054
O 7.658 4.264 1.504
K 12.400 4.649 2.610
O 7.034 1.245 4.304
P 8.693 3.260 1.895
O 6.118 3.687 4.304
K 2.293 0.860 3.198
P 5.999 2.249 3.914
O 9.841 3.690 2.754
O 8.574 1.822 1.504

[5]
18
Lattice="-4.724 -2.436 5.547 5.648 -0.988 5.113 -1.083 6.651 -3.690" Properties=species:S:1:pos:R:3 comment="K3PO5 PBE relaxed" sg="I4/mcm (140)" total_energy_ev_per_atom=-5.437 formation_energy_uncorrected_mev_per_atom=-1716 pbc="T T T"
K -3.138 3.978 1.549
K 0.231 -0.856 2.665
O 3.827 1.866 4.203
O 0.462 -1.712 5.330
O -1.511 1.706 2.664
P 2.514 1.976 3.376
O -2.448 -0.209 4.080
K -0.478 0.670 6.176
O 2.290 3.436 2.890
K 0.693 -2.568 7.995
P -2.672 1.252 3.594
O 2.586 1.079 2.107
O 0.000 0.000 0.000
K 2.980 -0.750 5.421
O -2.745 2.148 4.863
O 1.352 1.521 4.306
K 0.319 2.557 0.794
O -3.986 1.361 2.767

[6]
40
Lattice="-4.129 1.591 -1.343 -4.152 -9.548 1.453 -4.134 0.799 13.652" Properties=species:S:1:pos:R:3 comment="KPO3 PBE relaxed" sg="P2_1/c (14)" total_energy_ev_per_atom=-6.549 formation_energy_uncorrected_mev_per_atom=-2273 pbc="T T T"
P -5.944 -6.805 6.918
O -7.393 -6.276 3.771
O -6.321 -8.082 6.232
P -5.209 -1.976 8.980
O -5.426 -1.578 0.712
O -6.883 -3.797 4.305
K -6.912 1.251 10.373
O -4.298 -6.890 1.462
P -7.206 -5.182 4.782
O -6.041 -5.548 5.859
P -4.047 -0.890 0.134
O -8.117 -0.268 12.300
K -4.268 -3.078 5.263
K -6.199 -4.434 1.633
P -2.774 -2.518 2.273
O -5.532 -3.361 9.457
O -3.842 0.453 0.763
O -6.094 0.924 7.529
O -3.953 -2.013 7.927
O -6.374 -1.610 7.903
O -9.418 -5.174 13.022
K -4.629 0.769 3.617
P -6.471 -0.353 6.844
O -2.997 -1.984 0.739
O -5.021 -0.882 9.991
O -8.462 -5.145 5.834
O -9.677 -5.792 10.527
K -8.146 -4.080 8.498
O -8.735 -3.480 11.201
K -5.503 -8.409 3.389
O -8.573 -7.611 12.998
K -7.785 -7.926 10.145
O -6.568 -6.412 8.222
K -6.216 -2.724 12.128
O -5.847 -0.746 5.539
P -8.368 -6.268 13.628
P -9.641 -4.640 11.488
O -2.738 -1.366 3.235
O -6.989 -5.580 13.049
O -3.680 -3.678 2.560